Entry 1:
Compound: KHf2As3
Source: the Alexandria database
Functional: GGA-PBE
Structure: optimized geometry

a b c (Å): 4.4113 8.0427 9.9072
angles (deg): 90.00 90.00 105.92
Atoms (fractional coordinates):
Hf  0.0000  0.0000  0.5000
Hf  0.0000  0.0000  0.0000
Hf  0.4941  0.9882  0.2500
Hf  0.5059  0.0118  0.7500
As  0.3926  0.7853  0.5514
As  0.9093  0.8186  0.2500
As  0.0907  0.1814  0.7500
As  0.6074  0.2147  0.4486
As  0.6074  0.2147  0.0514
As  0.3926  0.7853  0.9486
K  0.2331  0.4661  0.2500
K  0.7669  0.5339  0.7500

Results
The size of the total moment is 0.0 μB/cell. Its space-group type is No. 63. As for the density of states at the Fermi level: 1.51 states/eV per cell. For the total DFT energy (no corrections), the calculation gives -6.486 eV per atom. The formation energy from the elements comes out at -0.661 eV per atom.

Entry 2:
Compound: KHf2As2
Source: the Alexandria database
Functional: GGA-PBE
Structure: optimized geometry

a b c (Å): 4.4796 4.4796 7.7190
angles (deg): 73.13 73.13 90.00
Atoms (fractional coordinates):
Hf  0.7500  0.2500  0.5000
Hf  0.2500  0.7500  0.5000
As  0.6454  0.6454  0.7091
As  0.3546  0.3546  0.2909
K  0.0000  0.0000  0.0000

Results
The size of the total moment is 0.0 μB/cell. Its space-group type is No. 139. As for the density of states at the Fermi level: 2.87 states/eV per cell. For the distance to the lowest polymorph of the same formula, the calculation gives 0.0000 eV/atom. For the total DFT energy (no corrections), the calculation gives -6.667 eV per atom. The formation energy from the elements comes out at -0.606 eV per atom.

Entry 3:
Compound: KHfAs2
Source: the Alexandria database
Functional: GGA-PBE
Structure: optimized geometry

a b c (Å): 3.8000 3.8000 8.5357
angles (deg): 77.14 77.14 60.00
Atoms (fractional coordinates):
K  0.4986  0.4986  0.5041
As  0.0662  0.0662  0.8014
As  0.2675  0.2675  0.1975
Hf  0.6677  0.6677  0.9970

Results
The size of the total moment is 0.0 μB/cell. Its space-group type is No. 160. As for the density of states at the Fermi level: 1.65 states/eV per cell. For the distance to the lowest polymorph of the same formula, the calculation gives 0.0061 eV/atom. For the total DFT energy (no corrections), the calculation gives -5.722 eV per atom. The formation energy from the elements comes out at -0.634 eV per atom.

Entry 4:
Compound: K3HfAs
Source: the Alexandria database
Functional: GGA-PBE
Structure: optimized geometry

a b c (Å): 6.5073 6.5073 6.5073
angles (deg): 90.00 90.00 90.00
Atoms (fractional coordinates):
As  0.5000  0.5000  0.5000
K  0.0000  0.5000  0.0000
K  0.5000  0.0000  0.0000
K  0.0000  0.0000  0.5000
Hf  0.0000  0.0000  0.0000

Results
The size of the total moment is 2.0 μB/cell. Its space-group type is No. 221. As for the density of states at the Fermi level: 3.12 states/eV per cell. For the distance to the lowest polymorph of the same formula, the calculation gives 0.4909 eV/atom. For the total DFT energy (no corrections), the calculation gives -2.196 eV per atom. The formation energy from the elements comes out at 1.384 eV per atom.

Entry 5:
Compound: KHfAs2
Source: the Alexandria database
Functional: GGA-PBE
Structure: optimized geometry

a b c (Å): 6.2581 6.2581 9.0898
angles (deg): 69.86 69.86 90.00
Atoms (fractional coordinates):
K  0.2500  0.7500  0.5000
K  0.5000  0.5000  0.0000
Hf  0.0000  0.0000  0.0000
Hf  0.7500  0.2500  0.5000
As  0.8752  0.6250  0.2500
As  0.8748  0.1250  0.2500
As  0.3750  0.1252  0.7500
As  0.8750  0.1248  0.7500

Results
The size of the total moment is 0.0 μB/cell. Its space-group type is No. 141. As for the density of states at the Fermi level: 1.87 states/eV per cell. For the distance to the lowest polymorph of the same formula, the calculation gives 0.3061 eV/atom. For the total DFT energy (no corrections), the calculation gives -5.422 eV per atom. The formation energy from the elements comes out at -0.334 eV per atom.

Entry 6:
Compound: KHfAs3
Source: the Alexandria database
Functional: GGA-PBE
Structure: optimized geometry

a b c (Å): 5.1122 5.1122 5.1122
angles (deg): 90.00 90.00 90.00
Atoms (fractional coordinates):
Hf  0.5000  0.5000  0.5000
As  0.0000  0.5000  0.0000
As  0.0000  0.0000  0.5000
As  0.5000  0.0000  0.0000
K  0.0000  0.0000  0.0000

Results
The size of the total moment is 0.0 μB/cell. Its space-group type is No. 221. As for the density of states at the Fermi level: 1.66 states/eV per cell. For the distance to the lowest polymorph of the same formula, the calculation gives 1.8336 eV/atom. For the total DFT energy (no corrections), the calculation gives -3.442 eV per atom. The formation energy from the elements comes out at 1.558 eV per atom.

Entry 7:
Compound: KHfAs2
Source: the Alexandria database
Functional: GGA-PBE
Structure: optimized geometry

a b c (Å): 4.0053 4.0053 8.0027
angles (deg): 75.51 75.51 60.00
Atoms (fractional coordinates):
K  0.5000  0.5000  0.5000
Hf  0.0000  0.0000  0.0000
As  0.7292  0.7292  0.8125
As  0.2708  0.2708  0.1875

Results
The size of the total moment is 0.0 μB/cell. Its space-group type is No. 166. As for the density of states at the Fermi level: 2.68 states/eV per cell. For the distance to the lowest polymorph of the same formula, the calculation gives 0.0000 eV/atom. For the total DFT energy (no corrections), the calculation gives -5.728 eV per atom. The formation energy from the elements comes out at -0.640 eV per atom.

Entry 8:
Compound: KHfAs3
Source: the Alexandria database
Functional: GGA-PBE
Structure: optimized geometry

a b c (Å): 5.2191 5.2191 5.2191
angles (deg): 90.00 90.00 90.00
Atoms (fractional coordinates):
As  0.0000  0.0000  0.5000
As  0.5000  0.0000  0.0000
As  0.0000  0.5000  0.0000
Hf  0.0000  0.0000  0.0000
K  0.5000  0.5000  0.5000

Results
The size of the total moment is 0.0 μB/cell. Its space-group type is No. 221. As for the density of states at the Fermi level: 4.18 states/eV per cell. For the distance to the lowest polymorph of the same formula, the calculation gives 0.0000 eV/atom. For the total DFT energy (no corrections), the calculation gives -5.276 eV per atom. The formation energy from the elements comes out at -0.276 eV per atom.

Entry 9:
Compound: K3HfAs
Source: the Alexandria database
Functional: GGA-PBE
Structure: optimized geometry

a b c (Å): 6.3424 6.3424 6.3424
angles (deg): 90.00 90.00 90.00
Atoms (fractional coordinates):
K  0.5000  0.0000  0.0000
K  0.0000  0.5000  0.0000
K  0.0000  0.0000  0.5000
As  0.0000  0.0000  0.0000
Hf  0.5000  0.5000  0.5000

Results
The size of the total moment is 2.0 μB/cell. Its space-group type is No. 221. As for the density of states at the Fermi level: 3.56 states/eV per cell. For the distance to the lowest polymorph of the same formula, the calculation gives 0.0000 eV/atom. For the total DFT energy (no corrections), the calculation gives -2.686 eV per atom. The formation energy from the elements comes out at 0.893 eV per atom.

Entry 10:
Compound: KHf3As
Source: the Alexandria database
Functional: GGA-PBE
Structure: optimized geometry

a b c (Å): 5.1518 5.1518 5.1518
angles (deg): 90.00 90.00 90.00
Atoms (fractional coordinates):
Hf  0.0000  0.0000  0.5000
Hf  0.5000  0.0000  0.0000
Hf  0.0000  0.5000  0.0000
K  0.5000  0.5000  0.5000
As  0.0000  0.0000  0.0000

Results
The size of the total moment is 0.0 μB/cell. Its space-group type is No. 221. As for the density of states at the Fermi level: 5.89 states/eV per cell. For the distance to the lowest polymorph of the same formula, the calculation gives 0.0000 eV/atom. For the total DFT energy (no corrections), the calculation gives -6.536 eV per atom. The formation energy from the elements comes out at 0.586 eV per atom.

Entry 11:
Compound: KLa2HfAs
Source: the Alexandria database
Functional: GGA-PBE
Structure: optimized geometry

a b c (Å): 5.8025 5.8709 5.8025
angles (deg): 90.00 90.00 90.00
Atoms (fractional coordinates):
La  0.5000  0.0000  0.0000
La  0.0000  0.0000  0.5000
As  0.0000  0.0000  0.0000
K  0.0000  0.5000  0.0000
Hf  0.5000  0.5000  0.5000

Results
The size of the total moment is 3.5 μB/cell. Its space-group type is No. 123. As for the density of states at the Fermi level: 8.14 states/eV per cell. For the total DFT energy (no corrections), the calculation gives -4.721 eV per atom. The formation energy from the elements comes out at 0.390 eV per atom.

Entry 12:
Compound: KHfMo2As
Source: the Alexandria database
Functional: GGA-PBE
Structure: optimized geometry

a b c (Å): 4.8471 5.6892 4.8471
angles (deg): 90.00 90.00 90.00
Atoms (fractional coordinates):
Mo  0.5000  0.0000  0.0000
Mo  0.0000  0.0000  0.5000
K  0.0000  0.5000  0.0000
Hf  0.0000  0.0000  0.0000
As  0.5000  0.5000  0.5000

Results
The size of the total moment is 1.8 μB/cell. Its space-group type is No. 123. As for the density of states at the Fermi level: 5.77 states/eV per cell. For the total DFT energy (no corrections), the calculation gives -5.539 eV per atom. The formation energy from the elements comes out at 1.933 eV per atom.

Number 1: mass density 6.10 g/cm³. Number 2: mass density 6.42 g/cm³. Number 3: mass density 5.91 g/cm³. Number 4: mass density 2.23 g/cm³. Number 5: mass density 3.92 g/cm³. Number 6: mass density 5.50 g/cm³. Number 7: mass density 5.73 g/cm³. Number 8: mass density 5.17 g/cm³. Number 9: mass density 2.41 g/cm³. Number 10: mass density 7.89 g/cm³. Number 11: mass density 4.79 g/cm³. Number 12: mass density 6.02 g/cm³.